Entry 1:
VASP calculation (PBE) on Ta3Sb after structural relaxation.

Properties
excess energy over the best structure of this formula in the dataset: 330.9 meV per atom

Cell: 4.744 4.744 4.744 Å, 60.00 60.00 60.00°
Fractional positions:
Ta 0.000 0.000 0.000
Ta 0.250 0.250 0.250
Ta 0.750 0.750 0.750
Sb 0.500 0.500 0.500

Entry 2:
VASP calculation (PBE) on TaSb2 after structural relaxation.

Cell: 5.051 5.051 3.086 Å, 90.00 90.00 120.00°
Fractional positions:
Ta 0.000 0.000 0.000
Sb 0.333 0.667 0.207
Sb 0.667 0.333 0.793

Formation energy from raw total energies values (in meV per atom) by entry order: 231, 376.
V values (in Å³ per cell) by entry order: 75.49, 68.18.